#i
A plane-wave DFT calculation with PBE was carried out for crystalline LaVTe2 at its relaxed geometry.

Geometry as CIF:
```
data_LaVTe2
_cell_length_a 6.448
_cell_length_b 6.448
_cell_length_c 14.651
_cell_angle_alpha 90.00
_cell_angle_beta 90.00
_cell_angle_gamma 90.00
_symmetry_space_group_name_H-M 'I -4 2 d'
_symmetry_Int_Tables_number 122
_symmetry_space_group_name_Hall 'I -4 2bw'
loop_
_atom_site_label
_atom_site_type_symbol
_atom_site_fract_x
_atom_site_fract_y
_atom_site_fract_z
_atom_site_occupancy
La1 La 0.000 0.000 0.000 1
V1 V 0.000 0.000 0.500 1
Te1 Te 0.196 0.250 0.625 1
```

density of states at the Fermi level	3.65	states/eV/f.u.
spin magnetization	4.00	μB per formula unit

#ii
A plane-wave DFT calculation with PBE was carried out for crystalline LaVTe2 at its relaxed geometry.

Geometry as CIF:
```
data_LaVTe2
_cell_length_a 4.6554
_cell_length_b 4.6554
_cell_length_c 26.8237
_cell_angle_alpha 90.00
_cell_angle_beta 90.00
_cell_angle_gamma 120.00
_symmetry_space_group_name_H-M 'R -3 m'
_symmetry_Int_Tables_number 166
_symmetry_space_group_name_Hall '-R 3 2"'
loop_
_atom_site_label
_atom_site_type_symbol
_atom_site_fract_x
_atom_site_fract_y
_atom_site_fract_z
_atom_site_occupancy
La1 La 0.0000 0.0000 0.0000 1
V1 V 0.0000 0.0000 0.5000 1
Te1 Te 0.0000 0.0000 0.3995 1
```

density of states at the Fermi level	8.23	states/eV/f.u.
spin magnetization	4.00	μB per formula unit

Energy ordering: #i at the bottom, the next structure 13.8 kJ/mol of atoms above.

#i
A plane-wave DFT calculation with PBE was carried out for crystalline LaVTe3 at its relaxed geometry.

Geometry as CIF:
```
data_LaVTe3
_cell_length_a 6.105
_cell_length_b 6.105
_cell_length_c 6.105
_cell_angle_alpha 90.00
_cell_angle_beta 90.00
_cell_angle_gamma 90.00
_symmetry_space_group_name_H-M 'P m -3 m'
_symmetry_Int_Tables_number 221
_symmetry_space_group_name_Hall '-P 4 2 3'
loop_
_atom_site_label
_atom_site_type_symbol
_atom_site_fract_x
_atom_site_fract_y
_atom_site_fract_z
_atom_site_occupancy
La1 La 0.000 0.000 0.000 1
V1 V 0.500 0.500 0.500 1
Te1 Te 0.000 0.000 0.500 1
```

density of states at the Fermi level	11.73	states/eV/f.u.
spin magnetization	2.74	μB per formula unit

#ii
A plane-wave DFT calculation with PBE was carried out for crystalline LaVTe3 at its relaxed geometry.

Geometry as CIF:
```
data_LaVTe3
_cell_length_a 5.321
_cell_length_b 5.321
_cell_length_c 5.321
_cell_angle_alpha 90.00
_cell_angle_beta 90.00
_cell_angle_gamma 90.00
_symmetry_space_group_name_H-M 'P m -3 m'
_symmetry_Int_Tables_number 221
_symmetry_space_group_name_Hall '-P 4 2 3'
loop_
_atom_site_label
_atom_site_type_symbol
_atom_site_fract_x
_atom_site_fract_y
_atom_site_fract_z
_atom_site_occupancy
La1 La 0.000 0.000 0.000 1
V1 V 0.500 0.500 0.500 1
Te1 Te 0.000 0.500 0.500 1
```

density of states at the Fermi level	6.55	states/eV/f.u.
spin magnetization	2.12	μB per formula unit

Energy ordering: #ii at the bottom, the next structure 87.8 kJ/mol of atoms above.

#i
A plane-wave DFT calculation with PBE was carried out for crystalline LaTeW at its relaxed geometry.

Geometry as CIF:
```
data_LaTeW
_cell_length_a 4.7074
_cell_length_b 4.7074
_cell_length_c 3.9814
_cell_angle_alpha 90.00
_cell_angle_beta 90.00
_cell_angle_gamma 120.00
_symmetry_space_group_name_H-M 'P -6 m 2'
_symmetry_Int_Tables_number 187
_symmetry_space_group_name_Hall 'P -6 2'
loop_
_atom_site_label
_atom_site_type_symbol
_atom_site_fract_x
_atom_site_fract_y
_atom_site_fract_z
_atom_site_occupancy
La1 La 0.0000 0.0000 0.0000 1
Te1 Te 0.6667 0.3333 0.5000 1
W1 W 0.3333 0.6667 0.5000 1
```

density of states at the Fermi level	3.12	states/eV/f.u.
spin magnetization	0.00	μB per formula unit

#ii
A plane-wave DFT calculation with PBE was carried out for crystalline LaTeW at its relaxed geometry.

Geometry as CIF:
```
data_LaTeW
_cell_length_a 3.5037
_cell_length_b 3.5037
_cell_length_c 7.2000
_cell_angle_alpha 90.00
_cell_angle_beta 90.00
_cell_angle_gamma 120.00
_symmetry_space_group_name_H-M 'P 3 m 1'
_symmetry_Int_Tables_number 156
_symmetry_space_group_name_Hall 'P 3 -2"'
loop_
_atom_site_label
_atom_site_type_symbol
_atom_site_fract_x
_atom_site_fract_y
_atom_site_fract_z
_atom_site_occupancy
La1 La 0.0000 0.0000 0.0000 1
Te1 Te 0.6667 0.3333 0.4061 1
W1 W 0.3333 0.6667 0.6595 1
```

density of states at the Fermi level	3.84	states/eV/f.u.
spin magnetization	0.11	μB per formula unit

Energy ordering: #i at the bottom, the next structure 21.5 kJ/mol of atoms above.

#i
A plane-wave DFT calculation with PBE was carried out for crystalline LaTeW at its relaxed geometry.

Geometry as CIF:
```
data_LaTeW
_cell_length_a 3.520
_cell_length_b 3.520
_cell_length_c 11.883
_cell_angle_alpha 90.00
_cell_angle_beta 90.00
_cell_angle_gamma 90.00
_symmetry_space_group_name_H-M 'I 4 m m'
_symmetry_Int_Tables_number 107
_symmetry_space_group_name_Hall 'I 4 -2'
loop_
_atom_site_label
_atom_site_type_symbol
_atom_site_fract_x
_atom_site_fract_y
_atom_site_fract_z
_atom_site_occupancy
La1 La 0.000 0.000 0.000 1
Te1 Te 0.000 0.000 0.284 1
W1 W 0.000 0.000 0.675 1
```

density of states at the Fermi level	4.94	states/eV/f.u.
spin magnetization	0.00	μB per formula unit

#ii
A plane-wave DFT calculation with PBE was carried out for crystalline LaTeW at its relaxed geometry.

Geometry as CIF:
```
data_LaTeW
_cell_length_a 6.783
_cell_length_b 6.783
_cell_length_c 6.783
_cell_angle_alpha 90.00
_cell_angle_beta 90.00
_cell_angle_gamma 90.00
_symmetry_space_group_name_H-M 'F -4 3 m'
_symmetry_Int_Tables_number 216
_symmetry_space_group_name_Hall 'F -4 2 3'
loop_
_atom_site_label
_atom_site_type_symbol
_atom_site_fract_x
_atom_site_fract_y
_atom_site_fract_z
_atom_site_occupancy
La1 La 0.000 0.000 0.000 1
Te1 Te 0.000 0.000 0.500 1
W1 W 0.250 0.250 0.750 1
```

density of states at the Fermi level	4.03	states/eV/f.u.
spin magnetization	0.85	μB per formula unit

Energy ordering: #i at the bottom, the next structure 34.5 kJ/mol of atoms above.